CrPt2Rh: relaxed, PBE.

Unit cell a=8.449 b=3.768 c=8.040 alpha=90.00 beta=104.81 gamma=90.00
Fractional positions:
Cr1 0.181 0.000 0.223
Cr2 0.319 0.500 0.777
Cr3 0.681 0.500 0.223
Cr4 0.819 0.000 0.777
Pt1 0.148 0.000 0.906
Pt2 0.165 0.000 0.561
Pt3 0.335 0.500 0.439
Pt4 0.352 0.500 0.094
Pt5 0.648 0.500 0.906
Pt6 0.665 0.500 0.561
Pt7 0.835 0.000 0.439
Pt8 0.852 0.000 0.094
Rh1 0.009 0.500 0.317
Rh2 0.491 0.000 0.683
Rh3 0.509 0.000 0.317
Rh4 0.991 0.500 0.683

## Properties
DOS(E_F) = 1.11 states/eV/atom
E_form = -36.9 meV/atom
total energy = -7.301 eV per atom
SG = No. 12

***

CrPtRh2: relaxed, PBE.

Unit cell a=6.182 b=6.182 c=6.182 alpha=90.00 beta=90.00 gamma=90.00
Fractional positions:
Cr1 0.000 0.000 0.000
Cr2 0.000 0.500 0.500
Cr3 0.500 0.000 0.500
Cr4 0.500 0.500 0.000
Pt1 0.250 0.250 0.250
Pt2 0.250 0.750 0.750
Pt3 0.750 0.250 0.750
Pt4 0.750 0.750 0.250
Rh1 0.000 0.000 0.500
Rh2 0.000 0.500 0.000
Rh3 0.250 0.250 0.750
Rh4 0.250 0.750 0.250
Rh5 0.500 0.000 0.000
Rh6 0.500 0.500 0.500
Rh7 0.750 0.250 0.250
Rh8 0.750 0.750 0.750

## Properties
DOS(E_F) = 2.19 states/eV/atom
E_form = 141.5 meV/atom
total energy = -7.450 eV per atom
SG = No. 216